# Na3Ce3VO8 PBE with a Hubbard U optimized geometry
data_Na3Ce3VO8
_cell_length_a 11.864
_cell_length_b 6.902
_cell_length_c 6.826
_cell_angle_alpha 90.00
_cell_angle_beta 124.36
_cell_angle_gamma 90.00
_symmetry_space_group_name_H-M 'C 1 2/m 1'
_symmetry_Int_Tables_number 12
loop_
_symmetry_equiv_pos_as_xyz
'x,y,z'
'-x,-y,-z'
'-x,y,-z'
'x,-y,z'
'x+1/2,y+1/2,z'
'-x+1/2,-y+1/2,-z'
'-x+1/2,y+1/2,-z'
'x+1/2,-y+1/2,z'
loop_
_atom_site_label
_atom_site_fract_x
_atom_site_fract_y
_atom_site_fract_z
_atom_site_occupancy
Na1 0.000 0.000 0.000 1
Na2 0.250 0.250 0.500 1
Ce1 0.000 0.500 0.500 1
Ce2 0.250 0.250 0.000 1
V1 0.000 0.000 0.500 1
O1 0.011 0.226 0.716 1
O2 0.225 0.000 0.749 1
O3 0.239 0.500 0.758 1
# Calculated total energy ... -7.146 eV per atom